1.
SrCaCdO3 after structural relaxation, computed with PBE.

a b c (Å): 3.3669 6.6494 9.7405
angles (deg): 93.29 90.00 90.00
Sites, in units of the cell vectors:
Cd: 0.2500 0.1790 0.5870
O: 0.7500 0.1975 0.4416
Ca: 0.7500 0.3486 0.8903
O: 0.2500 0.8025 0.5584
O: 0.7500 0.8754 0.1945
O: 0.2500 0.1246 0.8055
Sr: 0.7500 0.8200 0.7620
Cd: 0.7500 0.8210 0.4130
Sr: 0.2500 0.1800 0.2380
O: 0.7500 0.3967 0.1234
Ca: 0.2500 0.6514 0.1097
O: 0.2500 0.6033 0.8766

Summary:
**Crystal system**: monoclinic
**Formation energy (no corrections)**: -2.1225 eV/atom


2.
Ac4Ag5Bi7 after structural relaxation, computed with PBE.

a b c (Å): 6.5917 6.5917 12.0684
angles (deg): 105.85 105.85 90.00
Sites, in units of the cell vectors:
Ac: 0.3773 0.8706 0.2479
Bi: 0.0818 0.5896 0.6714
Bi: 0.9182 0.9182 0.3286
Ac: 0.1294 0.1294 0.7521
Ag: 0.2500 0.7500 0.5000
Bi: 0.0000 0.5000 0.0000
Bi: 0.4104 0.4104 0.3286
Bi: 0.5896 0.0818 0.6714
Ag: 0.2511 0.2511 0.5023
Ag: 0.7489 0.7489 0.4977
Ac: 0.8706 0.3773 0.2479
Bi: 0.5000 0.5000 0.0000
Ag: 0.7500 0.2500 0.5000
Ag: 0.0000 0.0000 0.0000
Ac: 0.6227 0.6227 0.7521
Bi: 0.5000 0.0000 0.0000

Summary:
**Crystal system**: tetragonal
**DFT formation energy**: -498.0 meV/atom


Number 1: calculated volume 217.7 Å³/cell, total DFT energy (no corrections) -64.4 eV for the cell shown. Number 2: calculated volume 483.7 Å³/cell, total DFT energy (no corrections) -65.8 eV for the cell shown.